1:
Computed, not measured: Tb2PmLu after structural relaxation at the PBE-GGA level of DFT.

Output
* theoretical density: 8.32 g/cm3
* space group: P4/mmm (123)

```
Tb2PmLu
1.0
-0.8150 4.7708 1.4535
-4.5473 -0.1319 -2.1167
-1.9604 -1.6493 4.3142
Pm Tb Lu
1 2 1
Cartesian
-3.6613 1.4948 1.8255
-2.2737 -0.0660 -1.0584
-0.9802 -0.8247 2.1571
-0.4075 2.3854 0.7268
```



2:
Computed, not measured: Tb2PmLu after structural relaxation at the PBE-GGA level of DFT.

Output
* theoretical density: 8.21 g/cm3
* space group: Fm-3m (225)

```
Tb2PmLu
1.0
-3.8149 3.4456 -2.3970
-2.3904 -1.4178 -4.9444
-5.4652 -1.5070 -0.1791
Pm Tb Lu
1 2 1
Cartesian
0.0000 0.0000 0.0000
-2.9176 0.1302 -1.8801
-8.7528 0.3906 -5.6404
-5.8352 0.2604 -3.7603
```



Which one is most stable, and which one is least stable? 1 is the most stable of them, while 2 is the least stable.



1:
Computed, not measured: PmLuTe after structural relaxation at the PBE-GGA level of DFT.

Output
* theoretical density: 8.13 g/cm3
* space group: P3m1 (156)

```
PmLuTe
1.0
3.9647 0.0000 0.0000
0.0000 5.1612 0.0000
0.0000 -2.5806 4.4698
Te Lu Pm
1 1 1
Cartesian
1.0419 0.0000 2.9798
0.4759 0.0000 0.0000
2.4470 2.5806 1.4899
```



2:
Computed, not measured: PmLuTe after structural relaxation at the PBE-GGA level of DFT.

Output
* theoretical density: 8.50 g/cm3
* space group: I4mm (107)

```
PmLuTe
1.0
-2.1470 1.2302 2.9933
-1.1234 -3.6521 0.6952
6.1666 0.4920 1.7014
Pm Lu Te
1 1 1
Cartesian
0.0453 -0.0072 0.0354
2.8829 -0.4574 2.2558
-0.0320 -1.4653 3.0987
```



Which one is most stable, and which one is least stable? 2 is the most stable of them, while 1 is the least stable.



1:
Computed, not measured: PmLuTl2 after structural relaxation at the PBE-GGA level of DFT.

Output
* theoretical density: 10.91 g/cm3
* space group: P4/mmm (123)

```
PmLuTl2
1.0
-2.8003 -2.3661 -2.2636
1.5971 -4.1793 2.3928
-3.5097 0.7161 3.5934
Tl Pm Lu
2 1 1
Cartesian
-1.7549 0.3580 1.7967
0.7986 -2.0897 1.1964
-2.3564 -2.9147 1.8613
-1.4001 -1.1830 -1.1318
```



2:
Computed, not measured: PmLuTl2 after structural relaxation at the PBE-GGA level of DFT.

Output
* theoretical density: 10.99 g/cm3
* space group: P4/mmm (123)

```
PmLuTl2
1.0
3.7905 0.0000 0.0000
0.0000 3.7905 0.0000
0.0000 0.0000 7.6655
Tl Pm Lu
2 1 1
Cartesian
0.0000 0.0000 1.8023
0.0000 0.0000 5.8631
1.8953 1.8953 3.8327
1.8953 1.8953 0.0000
```



Which one is most stable, and which one is least stable? 2 is the most stable of them, while 1 is the least stable.



1:
Computed, not measured: PmTmLu2 after structural relaxation at the PBE-GGA level of DFT.

Output
* theoretical density: 8.88 g/cm3
* space group: Fm-3m (225)

```
PmTmLu2
1.0
5.5989 0.0000 0.0000
2.7995 4.8488 0.0000
2.7995 1.6163 4.5715
Lu Pm Tm
2 1 1
Cartesian
2.7995 1.6163 1.1429
8.3984 4.8488 3.4286
0.0000 0.0000 0.0000
5.5989 3.2325 2.2858
```



2:
Computed, not measured: PmTmLu2 after structural relaxation at the PBE-GGA level of DFT.

Output
* theoretical density: 8.98 g/cm3
* space group: P4/mmm (123)

```
PmTmLu2
1.0
-4.8881 -0.7464 -0.1510
0.2314 -2.3972 4.3591
-0.7309 4.3001 2.4036
Tm Lu Pm
1 2 1
Cartesian
-2.4440 -0.3732 -0.0755
-0.3654 2.1500 1.2018
0.1157 -1.1986 2.1795
-2.6938 0.5782 3.3058
```



Which one is most stable, and which one is least stable? 2 is the most stable of them, while 1 is the least stable.



1:
Computed, not measured: PmTmLu2 after structural relaxation at the PBE-GGA level of DFT.

Output
* theoretical density: 9.00 g/cm3
* space group: R-3m (166)

```
PmTmLu2
1.0
-3.4902 -0.4673 -0.0506
-1.7139 -0.7913 2.9730
-3.2517 10.6841 3.0551
Tm Pm Lu
1 1 2
Cartesian
-4.2279 4.7127 2.9888
0.0000 0.0000 0.0000
-2.1200 2.4009 1.5027
-6.3358 7.0245 4.4748
```



2:
Computed, not measured: PmTmLu2 after structural relaxation at the PBE-GGA level of DFT.

Output
* theoretical density: 8.84 g/cm3
* space group: P4/mmm (123)

```
PmTmLu2
1.0
-3.9339 -0.3602 -0.5847
0.5977 -0.1213 -3.9466
0.6626 -7.7872 0.3397
Lu Pm Tm
2 1 1
Cartesian
0.1575 -1.8506 0.0807
0.5052 -5.9367 0.2590
-1.3368 -4.1344 -2.0958
-1.6681 -0.2408 -2.2656
```



Which one is most stable, and which one is least stable? 1 is the most stable of them, while 2 is the least stable.



1:
Computed, not measured: Pm2LuZn after structural relaxation at the PBE-GGA level of DFT.

Output
* theoretical density: 7.78 g/cm3
* space group: P4/mmm (123)

```
Pm2LuZn
1.0
3.6310 0.0000 0.0000
0.0000 3.6310 0.0000
0.0000 0.0000 8.5894
Pm Lu Zn
2 1 1
Cartesian
0.0000 0.0000 1.8333
0.0000 0.0000 6.7561
1.8155 1.8155 4.2947
1.8155 1.8155 0.0000
```



2:
Computed, not measured: Pm2LuZn after structural relaxation at the PBE-GGA level of DFT.

Output
* theoretical density: 7.07 g/cm3
* space group: R-3m (166)

```
Pm2LuZn
1.0
3.4735 0.0000 0.0000
1.7367 3.0081 0.0000
1.7367 1.0027 11.9302
Lu Pm Zn
1 2 1
Cartesian
3.4735 2.0054 5.9651
5.2102 3.0081 3.1376
1.7367 1.0027 8.7927
0.0000 0.0000 0.0000
```



3:
Computed, not measured: Pm2LuZn after structural relaxation at the PBE-GGA level of DFT.

Output
* theoretical density: 7.98 g/cm3
* space group: Fm-3m (225)

```
Pm2LuZn
1.0
5.3847 0.0000 0.0000
2.6924 4.6633 0.0000
2.6924 1.5544 4.3966
Lu Pm Zn
1 2 1
Cartesian
0.0000 0.0000 0.0000
2.6924 1.5544 1.0992
8.0771 4.6633 3.2975
5.3847 3.1089 2.1983
```



Which one is most stable, and which one is least stable? 1 is the most stable of them, while 2 is the least stable.



1:
Computed, not measured: PmLu2Zn after structural relaxation at the PBE-GGA level of DFT.

Output
* theoretical density: 8.86 g/cm3
* space group: P4/mmm (123)

```
PmLu2Zn
1.0
4.7436 0.0000 0.0000
0.0000 4.7056 0.0000
0.0000 0.0000 4.7056
Lu Pm Zn
2 1 1
Cartesian
0.0000 2.3528 0.0000
0.0000 0.0000 2.3528
2.3718 0.0000 0.0000
2.3718 2.3528 2.3528
```



2:
Computed, not measured: PmLu2Zn after structural relaxation at the PBE-GGA level of DFT.

Output
* theoretical density: 8.74 g/cm3
* space group: P4/mmm (123)

```
PmLu2Zn
1.0
3.5016 0.0000 0.0000
0.0000 3.5016 0.0000
0.0000 0.0000 8.6874
Lu Pm Zn
2 1 1
Cartesian
0.0000 0.0000 6.9433
0.0000 0.0000 1.7441
1.7508 1.7508 4.3437
1.7508 1.7508 0.0000
```



3:
Computed, not measured: PmLu2Zn after structural relaxation at the PBE-GGA level of DFT.

Output
* theoretical density: 8.49 g/cm3
* space group: R-3m (166)

```
PmLu2Zn
1.0
3.5212 0.0000 0.0000
1.7606 3.0495 0.0000
1.7606 1.0165 10.2017
Pm Lu Zn
1 2 1
Cartesian
3.5212 2.0330 5.1009
5.2818 3.0495 8.0153
1.7606 1.0165 2.1865
0.0000 0.0000 0.0000
```



Which one is most stable, and which one is least stable? 2 is the most stable of them, while 1 is the least stable.



1:
Computed, not measured: PmLuZr2 after structural relaxation at the PBE-GGA level of DFT.

Output
* theoretical density: 7.83 g/cm3
* space group: P4/mmm (123)

```
PmLuZr2
1.0
4.7699 0.0000 0.0000
0.0000 4.7255 0.0000
0.0000 0.0000 4.7255
Zr Lu Pm
2 1 1
Cartesian
0.0000 2.3627 0.0000
0.0000 0.0000 2.3627
2.3849 0.0000 0.0000
2.3849 2.3627 2.3627
```



2:
Computed, not measured: PmLuZr2 after structural relaxation at the PBE-GGA level of DFT.

Output
* theoretical density: 7.80 g/cm3
* space group: P4/mmm (123)

```
PmLuZr2
1.0
3.9210 0.0000 0.0000
0.0000 3.9210 0.0000
0.0000 0.0000 6.9556
Zr Pm Lu
2 1 1
Cartesian
0.0000 0.0000 5.4018
0.0000 0.0000 1.5538
1.9605 1.9605 3.4778
1.9605 1.9605 0.0000
```



Which one is most stable, and which one is least stable? 1 is the most stable of them, while 2 is the least stable.



1:
Computed, not measured: PrLu after structural relaxation at the PBE-GGA level of DFT.

Output
* theoretical density: 7.98 g/cm3
* space group: Pm-3m (221)

```
PrLu
1.0
4.0356 0.0000 0.0000
0.0000 4.0356 0.0000
0.0000 0.0000 4.0356
Lu Pr
1 1
Cartesian
0.0000 0.0000 0.0000
2.0178 2.0178 2.0178
```



2:
Computed, not measured: PrLu after structural relaxation at the PBE-GGA level of DFT.

Output
* theoretical density: 7.93 g/cm3
* space group: Pmma (51)

```
PrLu
1.0
-2.7161 2.4554 -0.3616
-0.2429 -1.1716 -6.1506
-3.8656 -4.1375 0.9408
Lu Pr
2 2
Cartesian
-4.4590 -2.8551 -4.6128
-2.3655 0.0014 -0.9587
-2.9788 -3.4853 -1.3021
-3.8458 0.6316 -4.2693
```



Which one is most stable, and which one is least stable? 2 is the most stable of them, while 1 is the least stable.



1:
Computed, not measured: PrLu3 after structural relaxation at the PBE-GGA level of DFT.

Output
* theoretical density: 8.84 g/cm3
* space group: Pmm2 (25)

```
PrLu3
1.0
3.5939 0.0000 0.0000
0.0000 5.6053 0.0000
0.0000 0.0000 6.2059
Lu Pr
3 1
Cartesian
0.0000 0.0000 6.1856
1.7969 2.8027 5.1627
1.7969 0.0000 3.1221
0.0000 2.8027 2.0785
```



2:
Computed, not measured: PrLu3 after structural relaxation at the PBE-GGA level of DFT.

Output
* theoretical density: 8.84 g/cm3
* space group: Imm2 (44)

```
PrLu3
1.0
-1.4693 2.9738 -1.4067
-0.0596 -2.6713 -5.5852
-4.3528 -2.1920 4.5266
Lu Pr
3 1
Cartesian
-0.7644 0.1523 -3.4938
-3.3171 0.8906 0.7334
-2.5450 -1.9052 -1.3694
-0.0592 -2.6568 -5.5549
```



3:
Computed, not measured: PrLu3 after structural relaxation at the PBE-GGA level of DFT.

Output
* theoretical density: 8.92 g/cm3
* space group: I4/mmm (139)

```
PrLu3
1.0
5.0225 0.0000 0.0000
0.0000 5.0225 0.0000
-2.5113 -2.5113 4.9129
Pr Lu
1 3
Cartesian
0.0000 0.0000 0.0000
2.5113 0.0000 2.4565
2.5113 2.5113 0.0000
0.0000 2.5113 2.4565
```



4:
Computed, not measured: PrLu3 after structural relaxation at the PBE-GGA level of DFT.

Output
* theoretical density: 8.86 g/cm3
* space group: Fm-3m (225)

```
PrLu3
1.0
5.6098 0.0000 0.0000
2.8049 4.8582 0.0000
2.8049 1.6194 4.5804
Lu Pr
3 1
Cartesian
8.4147 4.8582 3.4353
2.8049 1.6194 1.1451
0.0000 0.0000 0.0000
5.6098 3.2388 2.2902
```



Which one is most stable, and which one is least stable? 2 is the most stable of them, while 4 is the least stable.



1:
Computed, not measured: PrLu3 after structural relaxation at the PBE-GGA level of DFT.

Output
* theoretical density: 8.92 g/cm3
* space group: Pm-3m (221)

```
PrLu3
1.0
-0.0515 0.2236 4.9799
-1.6000 -4.7174 0.1953
4.7212 -1.5962 0.1205
Pr Lu
1 3
Cartesian
0.0000 0.0000 0.0000
-0.8257 -2.2469 2.5876
2.3349 -0.6863 2.5502
1.5606 -3.1568 0.1579
```



2:
Computed, not measured: PrLu3 after structural relaxation at the PBE-GGA level of DFT.

Output
* theoretical density: 8.86 g/cm3
* space group: P6_3/mmc (194)

```
PrLu3
1.0
-4.0588 5.5957 -1.8376
3.2319 -3.8888 -5.0592
-4.5058 -3.3642 -0.2924
Lu Pr
6 2
Cartesian
-4.1827 -1.3225 -1.6554
-4.6017 -0.4575 -5.1503
-0.7310 -1.1998 -2.0389
0.9067 -3.1704 -4.6026
-1.1501 -0.3348 -5.5338
-6.2394 1.5131 -2.5866
-2.7550 1.5932 -2.9846
-2.5777 -3.2505 -4.2046
```



Which one is most stable, and which one is least stable? 2 is the most stable of them, while 1 is the least stable.



1:
Computed, not measured: PrLu2 after structural relaxation at the PBE-GGA level of DFT.

Output
* theoretical density: 8.59 g/cm3
* space group: I4/mmm (139)

```
PrLu2
1.0
3.5422 0.0000 0.0000
0.0000 3.5422 0.0000
-1.7711 -1.7711 7.5624
Pr Lu
1 2
Cartesian
0.0000 0.0000 0.0000
1.7711 1.7711 2.5711
0.0000 0.0000 4.9913
```



2:
Computed, not measured: PrLu2 after structural relaxation at the PBE-GGA level of DFT.

Output
* theoretical density: 7.86 g/cm3
* space group: Fd-3m (227)

```
PrLu2
1.0
-5.9670 1.0801 2.7154
-4.2874 -5.0263 0.7064
-1.3732 -2.3693 6.0536
Pr Lu
2 4
Cartesian
-2.9069 -1.5789 2.3688
0.0000 0.0000 0.0000
-7.2672 -3.9472 5.9221
-5.1235 -1.4340 5.5689
-4.2838 -4.4872 4.5644
-6.5807 -2.7625 2.8953
```



Which one is most stable, and which one is least stable? 1 is the most stable of them, while 2 is the least stable.



1:
Computed, not measured: PrLuPt after structural relaxation at the PBE-GGA level of DFT.

Output
* theoretical density: 10.05 g/cm3
* space group: F-43m (216)

```
PrLuPt
1.0
-4.4934 2.0124 -0.0639
-3.4779 -1.6441 3.0734
-1.4929 2.8097 3.7579
Pt Lu Pr
1 1 1
Cartesian
-2.3661 0.7945 1.6919
-4.7321 1.5890 3.3837
0.0000 0.0000 0.0000
```



2:
Computed, not measured: PrLuPt after structural relaxation at the PBE-GGA level of DFT.

Output
* theoretical density: 10.48 g/cm3
* space group: P3m1 (156)

```
PrLuPt
1.0
4.3556 0.0000 0.0000
0.0000 4.6318 0.0000
0.0000 -2.3159 4.0112
Pr Pt Lu
1 1 1
Cartesian
3.0925 2.3159 1.3371
0.3159 0.0000 0.0000
0.9472 0.0000 2.6741
```



Which one is most stable, and which one is least stable? 1 is the most stable of them, while 2 is the least stable.